An optimized crystal structure of BaTlAu2, computed with PBE.

size of the total moment: 0.00 μB/f.u.
space-group type: Pm (6)
formation energy: -0.44 eV/atom
total energy: -3.150 eV per atom
crystal system: monoclinic

Structure (CIF):
```
data_BaTlAu2
_chemical_formula_sum 'Ba1 Tl1 Au2'
_cell_length_a 4.6604
_cell_length_b 4.4134
_cell_length_c 6.1838
_cell_angle_alpha 69.22
_cell_angle_beta 90.00
_cell_angle_gamma 90.00
_symmetry_space_group_name_H-M 'P 1'
_symmetry_Int_Tables_number 1
_symmetry_space_group_name_Hall 'P 1'
loop_
_atom_site_label
_atom_site_type_symbol
_atom_site_fract_x
_atom_site_fract_y
_atom_site_fract_z
Tl1 Tl 0.5000 0.7693 0.8431
Au1 Au 0.0000 0.1994 0.9717
Au2 Au 0.5000 0.0540 0.2651
Ba1 Ba 0.0000 0.4773 0.4202
```

=====

An optimized crystal structure of Pu5C, computed with PBE.

size of the total moment: 16.05 μB/f.u.
space-group type: Cmmm (65)
formation energy: 0.32 eV/atom
total energy: -13.164 eV per atom
crystal system: orthorhombic

Structure (CIF):
```
data_Pu5C
_chemical_formula_sum 'Pu5 C1'
_cell_length_a 3.1737
_cell_length_b 5.1380
_cell_length_c 8.4584
_cell_angle_alpha 107.68
_cell_angle_beta 90.00
_cell_angle_gamma 90.00
_symmetry_space_group_name_H-M 'P 1'
_symmetry_Int_Tables_number 1
_symmetry_space_group_name_Hall 'P 1'
loop_
_atom_site_label
_atom_site_type_symbol
_atom_site_fract_x
_atom_site_fract_y
_atom_site_fract_z
C1 C 0.0000 0.0000 0.0000
Pu1 Pu 0.0000 0.6942 0.3885
Pu2 Pu 0.0000 0.3058 0.6115
Pu3 Pu 0.5000 0.5000 0.0000
Pu4 Pu 0.5000 0.1089 0.2177
Pu5 Pu 0.5000 0.8911 0.7823
```

=====

An optimized crystal structure of Zr2MnMo, computed with PBE.

size of the total moment: 1.29 μB/f.u.
space-group type: Pmmm (47)
formation energy: 0.20 eV/atom
total energy: -9.071 eV per atom
crystal system: orthorhombic

Structure (CIF):
```
data_Zr2MnMo
_chemical_formula_sum 'Zr2 Mn1 Mo1'
_cell_length_a 3.3778
_cell_length_b 4.9410
_cell_length_c 4.3062
_cell_angle_alpha 90.00
_cell_angle_beta 90.00
_cell_angle_gamma 90.00
_symmetry_space_group_name_H-M 'P 1'
_symmetry_Int_Tables_number 1
_symmetry_space_group_name_Hall 'P 1'
loop_
_atom_site_label
_atom_site_type_symbol
_atom_site_fract_x
_atom_site_fract_y
_atom_site_fract_z
Mn1 Mn 0.5000 0.0000 0.5000
Mo1 Mo 0.0000 0.5000 0.5000
Zr1 Zr 0.0000 0.0000 0.0000
Zr2 Zr 0.5000 0.5000 0.0000
```

=====

An optimized crystal structure of Na2SrHAu, computed with PBE.

size of the total moment: 0.00 μB/f.u.
space-group type: P4/mmm (123)
total energy: -2.470 eV per atom
crystal system: tetragonal

Structure (CIF):
```
data_Na2SrHAu
_chemical_formula_sum 'Na2 Sr1 H1 Au1'
_cell_length_a 4.6800
_cell_length_b 4.6800
_cell_length_c 5.1751
_cell_angle_alpha 90.00
_cell_angle_beta 90.00
_cell_angle_gamma 90.00
_symmetry_space_group_name_H-M 'P 1'
_symmetry_Int_Tables_number 1
_symmetry_space_group_name_Hall 'P 1'
loop_
_atom_site_label
_atom_site_type_symbol
_atom_site_fract_x
_atom_site_fract_y
_atom_site_fract_z
Sr1 Sr 0.0000 0.0000 0.5000
Au1 Au 0.5000 0.5000 0.5000
H1 H 0.0000 0.0000 0.0000
Na1 Na 0.0000 0.5000 0.0000
Na2 Na 0.5000 0.0000 0.0000
```

=====

An optimized crystal structure of NiTe4P, computed with PBE.

size of the total moment: 1.14 μB/f.u.
formation energy (no corrections): 1148 meV per atom
space-group type: F-43m (216)
total energy: -2.811 eV per atom
crystal system: cubic

Structure (CIF):
```
data_NiTe4P
_chemical_formula_sum 'Ni1 Te4 P1'
_cell_length_a 6.1630
_cell_length_b 6.1630
_cell_length_c 6.1630
_cell_angle_alpha 60.00
_cell_angle_beta 60.00
_cell_angle_gamma 60.00
_symmetry_space_group_name_H-M 'P 1'
_symmetry_Int_Tables_number 1
_symmetry_space_group_name_Hall 'P 1'
loop_
_atom_site_label
_atom_site_type_symbol
_atom_site_fract_x
_atom_site_fract_y
_atom_site_fract_z
Ni1 Ni 0.7500 0.7500 0.7500
Te1 Te 0.8761 0.3746 0.3746
Te2 Te 0.3746 0.3746 0.8761
Te3 Te 0.3746 0.8761 0.3746
Te4 Te 0.3746 0.3746 0.3746
P1 P 0.0000 0.0000 0.0000
```

=====

An optimized crystal structure of CsTl2SbTe4, computed with PBE.

size of the total moment: 0.00 μB/f.u.
formation energy (no corrections): -256 meV per atom
space-group type: C2/c (15)
total energy: -3.041 eV per atom
crystal system: monoclinic

Structure (CIF):
```
data_CsTl2SbTe4
_chemical_formula_sum 'Cs2 Tl4 Sb2 Te8'
_cell_length_a 9.4827
_cell_length_b 9.4827
_cell_length_c 9.2752
_cell_angle_alpha 119.23
_cell_angle_beta 119.23
_cell_angle_gamma 90.32
_symmetry_space_group_name_H-M 'P 1'
_symmetry_Int_Tables_number 1
_symmetry_space_group_name_Hall 'P 1'
loop_
_atom_site_label
_atom_site_type_symbol
_atom_site_fract_x
_atom_site_fract_y
_atom_site_fract_z
Cs1 Cs 0.0000 0.5000 0.0000
Cs2 Cs 0.0000 0.5000 0.5000
Tl1 Tl 0.5000 0.0000 0.0000
Tl2 Tl 0.5000 0.0000 0.5000
Tl3 Tl 0.0000 0.0000 0.5000
Tl4 Tl 0.5000 0.5000 0.0000
Sb1 Sb 0.5000 0.5000 0.5000
Sb2 Sb 0.0000 0.0000 0.0000
Te1 Te 0.2756 0.7993 0.0370
Te2 Te 0.7007 0.2244 0.4630
Te3 Te 0.2993 0.7756 0.5370
Te4 Te 0.7244 0.2007 0.9631
Te5 Te 0.7322 0.7671 0.9774
Te6 Te 0.7329 0.7678 0.5226
Te7 Te 0.2671 0.2322 0.4774
Te8 Te 0.2678 0.2329 0.0226
```

=====

An optimized crystal structure of Te2PCBr, computed with PBE.

size of the total moment: 0.55 μB/f.u.
formation energy (no corrections): 1713 meV per atom
space-group type: P4/mmm (123)
total energy: -2.805 eV per atom
crystal system: tetragonal

Structure (CIF):
```
data_Te2PCBr
_chemical_formula_sum 'Te2 P1 C1 Br1'
_cell_length_a 5.3248
_cell_length_b 4.9190
_cell_length_c 5.3248
_cell_angle_alpha 90.00
_cell_angle_beta 90.00
_cell_angle_gamma 90.00
_symmetry_space_group_name_H-M 'P 1'
_symmetry_Int_Tables_number 1
_symmetry_space_group_name_Hall 'P 1'
loop_
_atom_site_label
_atom_site_type_symbol
_atom_site_fract_x
_atom_site_fract_y
_atom_site_fract_z
P1 P 0.0000 0.0000 0.0000
C1 C 0.5000 0.5000 0.5000
Te1 Te 0.0000 0.0000 0.5000
Te2 Te 0.5000 0.0000 0.0000
Br1 Br 0.0000 0.5000 0.0000
```

=====

An optimized crystal structure of Sr2YP, computed with PBE.

size of the total moment: 0.27 μB/f.u.
space-group type: P4/mmm (123)
formation energy: -0.32 eV/atom
total energy: -4.128 eV per atom
crystal system: tetragonal

Structure (CIF):
```
data_Sr2YP
_chemical_formula_sum 'Sr2 Y1 P1'
_cell_length_a 3.7416
_cell_length_b 3.7416
_cell_length_c 9.8455
_cell_angle_alpha 90.00
_cell_angle_beta 90.00
_cell_angle_gamma 90.00
_symmetry_space_group_name_H-M 'P 1'
_symmetry_Int_Tables_number 1
_symmetry_space_group_name_Hall 'P 1'
loop_
_atom_site_label
_atom_site_type_symbol
_atom_site_fract_x
_atom_site_fract_y
_atom_site_fract_z
Sr1 Sr 0.0000 0.0000 0.6695
Sr2 Sr 0.0000 0.0000 0.3305
Y1 Y 0.5000 0.5000 0.0000
P1 P 0.5000 0.5000 0.5000
```

=====

An optimized crystal structure of FePtSe2, computed with PBE.

size of the total moment: 3.22 μB/f.u.
formation energy (no corrections): 502 meV per atom
space-group type: F-43m (216)
total energy: -4.866 eV per atom
crystal system: cubic

Structure (CIF):
```
data_FePtSe2
_chemical_formula_sum 'Fe1 Pt1 Se2'
_cell_length_a 4.5907
_cell_length_b 4.5907
_cell_length_c 4.5907
_cell_angle_alpha 60.00
_cell_angle_beta 60.00
_cell_angle_gamma 60.00
_symmetry_space_group_name_H-M 'P 1'
_symmetry_Int_Tables_number 1
_symmetry_space_group_name_Hall 'P 1'
loop_
_atom_site_label
_atom_site_type_symbol
_atom_site_fract_x
_atom_site_fract_y
_atom_site_fract_z
Fe1 Fe 0.5000 0.5000 0.5000
Pt1 Pt 0.7500 0.7500 0.7500
Se1 Se 0.0000 0.0000 0.0000
Se2 Se 0.2500 0.2500 0.2500
```

=====

An optimized crystal structure of AsPW2, computed with PBE.

size of the total moment: 0.00 μB/f.u.
space-group type: P4mm (99)
formation energy: -0.07 eV/atom
total energy: -9.061 eV per atom
crystal system: tetragonal

Structure (CIF):
```
data_AsPW2
_chemical_formula_sum 'As1 P1 W2'
_cell_length_a 3.2191
_cell_length_b 3.2191
_cell_length_c 5.8269
_cell_angle_alpha 90.00
_cell_angle_beta 90.00
_cell_angle_gamma 90.00
_symmetry_space_group_name_H-M 'P 1'
_symmetry_Int_Tables_number 1
_symmetry_space_group_name_Hall 'P 1'
loop_
_atom_site_label
_atom_site_type_symbol
_atom_site_fract_x
_atom_site_fract_y
_atom_site_fract_z
As1 As 0.0000 0.0000 0.4858
P1 P 0.5000 0.5000 0.7809
W1 W 0.0000 0.0000 0.9523
W2 W 0.5000 0.5000 0.2810
```

=====

An optimized crystal structure of LaMgV3, computed with PBE.

size of the total moment: 9.55 μB/f.u.
space-group type: Pm-3m (221)
formation energy: 1.32 eV/atom
total energy: -5.457 eV per atom
crystal system: cubic

Structure (CIF):
```
data_LaMgV3
_chemical_formula_sum 'La1 Mg1 V3'
_cell_length_a 4.9450
_cell_length_b 4.9450
_cell_length_c 4.9450
_cell_angle_alpha 90.00
_cell_angle_beta 90.00
_cell_angle_gamma 90.00
_symmetry_space_group_name_H-M 'P 1'
_symmetry_Int_Tables_number 1
_symmetry_space_group_name_Hall 'P 1'
loop_
_atom_site_label
_atom_site_type_symbol
_atom_site_fract_x
_atom_site_fract_y
_atom_site_fract_z
Mg1 Mg 0.0000 0.0000 0.0000
La1 La 0.5000 0.5000 0.5000
V1 V 0.0000 0.5000 0.0000
V2 V 0.0000 0.0000 0.5000
V3 V 0.5000 0.0000 0.0000
```

=====

An optimized crystal structure of Np3TlO9, computed with PBE.

size of the total moment: 4.00 μB/f.u.
formation energy (no corrections): -2588 meV per atom
space-group type: P6/mmm (191)
total energy: -9.188 eV per atom
crystal system: hexagonal

Structure (CIF):
```
data_Np3TlO9
_chemical_formula_sum 'Np3 Tl1 O9'
_cell_length_a 4.1505
_cell_length_b 8.0138
_cell_length_c 8.0138
_cell_angle_alpha 120.00
_cell_angle_beta 90.00
_cell_angle_gamma 90.00
_symmetry_space_group_name_H-M 'P 1'
_symmetry_Int_Tables_number 1
_symmetry_space_group_name_Hall 'P 1'
loop_
_atom_site_label
_atom_site_type_symbol
_atom_site_fract_x
_atom_site_fract_y
_atom_site_fract_z
Np1 Np 0.5000 0.0000 0.5000
Np2 Np 0.5000 0.5000 0.0000
Np3 Np 0.5000 0.5000 0.5000
Tl1 Tl 0.0000 0.0000 0.0000
O1 O 0.0000 0.0000 0.5000
O2 O 0.5000 0.2066 0.4131
O3 O 0.5000 0.2066 0.7934
O4 O 0.5000 0.5869 0.7934
O5 O 0.0000 0.5000 0.0000
O6 O 0.5000 0.4131 0.2066
O7 O 0.0000 0.5000 0.5000
O8 O 0.5000 0.7934 0.2066
O9 O 0.5000 0.7934 0.5869
```

=====

Q: What is the total energy in the sixth record?
A: -3.041 eV per atom